No. 1
# Rb2As4Pt3, relaxed, DFT PBE
data_Rb2As4Pt3
_chemical_formula_sum 'Rb8 As16 Pt12'
_space_group_name_H-M_alt 'F m m m'
_space_group_IT_number 69
_space_group_name_Hall '-F 2 2'
_cell_length_a 6.1812
_cell_length_b 10.4491
_cell_length_c 15.2216
_cell_angle_alpha 90.00
_cell_angle_beta 90.00
_cell_angle_gamma 90.00
loop_
_atom_site_label
_atom_site_fract_x
_atom_site_fract_y
_atom_site_fract_z
_atom_site_occupancy
Rb1 0.0000 0.0000 0.1530 1
As1 0.0000 0.1673 0.3829 1
Pt1 0.0000 0.0000 0.5000 1
Pt2 0.2500 0.2500 0.0000 1
# Energy of formation ... -392 meV/atom
# Volume ... 983.1 Å³/cell
# Total energy ... -4.69 eV per atom

No. 2
# Rb3AsPt, relaxed, DFT PBE
data_Rb3AsPt
_chemical_formula_sum 'Rb3 As1 Pt1'
_space_group_name_H-M_alt 'P m -3 m'
_space_group_IT_number 221
_space_group_name_Hall '-P 4 2 3'
_cell_length_a 6.3345
_cell_length_b 6.3345
_cell_length_c 6.3345
_cell_angle_alpha 90.00
_cell_angle_beta 90.00
_cell_angle_gamma 90.00
loop_
_atom_site_label
_atom_site_fract_x
_atom_site_fract_y
_atom_site_fract_z
_atom_site_occupancy
Rb1 0.0000 0.0000 0.5000 1
As1 0.5000 0.5000 0.5000 1
Pt1 0.0000 0.0000 0.0000 1
# Energy of formation ... 278 meV/atom
# ΔE to the lowest computed polymorph ... 493 meV per atom
# Volume ... 254.2 Å³/cell
# Total energy ... -2.44 eV per atom

No. 3
# Rb2AsPt2, relaxed, DFT PBE
data_Rb2AsPt2
_chemical_formula_sum 'Rb4 As2 Pt4'
_space_group_name_H-M_alt 'P 4/m b m'
_space_group_IT_number 127
_space_group_name_Hall '-P 4 2ab'
_cell_length_a 6.6716
_cell_length_b 6.6716
_cell_length_c 5.7249
_cell_angle_alpha 90.00
_cell_angle_beta 90.00
_cell_angle_gamma 90.00
loop_
_atom_site_label
_atom_site_fract_x
_atom_site_fract_y
_atom_site_fract_z
_atom_site_occupancy
Rb1 0.1779 0.3221 0.0000 1
As1 0.0000 0.0000 0.5000 1
Pt1 0.1429 0.6429 0.5000 1
# Energy of formation ... -109 meV/atom
# ΔE to the lowest computed polymorph ... 162 meV per atom
# Volume ... 254.8 Å³/cell
# Total energy ... -3.84 eV per atom

No. 4
# Rb3AsPt, relaxed, DFT PBE
data_Rb3AsPt
_chemical_formula_sum 'Rb12 As4 Pt4'
_space_group_name_H-M_alt 'C 1 2/m 1'
_space_group_IT_number 12
_cell_length_a 9.0561
_cell_length_b 10.9218
_cell_length_c 9.2612
_cell_angle_alpha 90.00
_cell_angle_beta 94.72
_cell_angle_gamma 90.00
loop_
_space_group_symop_operation_xyz
'x,y,z'
'-x,-y,-z'
'-x,y,-z'
'x,-y,z'
'x+1/2,y+1/2,z'
'-x+1/2,-y+1/2,-z'
'-x+1/2,y+1/2,-z'
'x+1/2,-y+1/2,z'
loop_
_atom_site_label
_atom_site_fract_x
_atom_site_fract_y
_atom_site_fract_z
_atom_site_occupancy
Rb1 0.1016 0.2015 0.3280 1
Rb2 0.2191 0.5000 0.0652 1
As1 0.0801 0.5000 0.6962 1
Pt1 0.1550 0.5000 0.4512 1
# Energy of formation ... -215 meV/atom
# ΔE to the lowest computed polymorph ... 0 meV per atom
# Volume ... 912.9 Å³/cell
# Total energy ... -2.93 eV per atom